(1)
VASP calculation (meta-GGA SCAN) on a PBEsol-optimized structure of Ta5S8.

Cell lengths 25.364, 3.229, 5.701 Å; angles 90.00, 101.97, 90.00 degrees
Space group C2/m (No. 12)
Asymmetric unit:
1 Ta 0.000 0.000 0.000 x2
2 Ta 0.129 0.000 0.131 x4
3 Ta 0.129 0.500 0.637 x4
4 S 0.063 0.500 0.247 x4
5 S 0.064 0.000 0.739 x4
6 S 0.192 0.000 0.860 x4
7 S 0.192 0.500 0.360 x4

Results
Raw formation energy = -1133 meV per atom
Calculated total energy = -32.67 eV per atom
DOS at the Fermi energy = 0.1720 states/eV/atom
Calculated volume = 456.83 Å³ per cell

***

(2)
VASP calculation (meta-GGA SCAN) on a PBEsol-optimized structure of CaTa2As.

Cell lengths 5.783, 10.242, 2.971 Å; angles 90.00, 119.50, 90.00 degrees
Space group C2/m (No. 12)
Asymmetric unit:
1 Ca 0.000 0.000 0.000 x2
2 Ta 0.250 0.250 0.500 x4
3 As 0.000 0.500 0.000 x2

Results
Calculated formation energy = 0.366 eV/atom
Calculated total energy = -40.39 eV per atom
DOS at the Fermi energy = 0.9690 states/eV/atom
Calculated volume = 153.17 Å³ per cell

***

(3)
VASP calculation (meta-GGA SCAN) on a PBEsol-optimized structure of ZrTe2SI.

Cell lengths 5.514, 5.514, 5.558 Å; angles 90.00, 90.00, 90.00 degrees
Space group P4/mmm (No. 123)
Asymmetric unit:
1 Zr 0.000 0.000 0.000 x1
2 Te 0.000 0.500 0.000 x2
3 S 0.500 0.500 0.500 x1
4 I 0.000 0.000 0.500 x1

Results
Raw formation energy = 144 meV per atom
E above lowest polymorph = 0.473 eV per atom
Calculated total energy = -30.17 eV per atom
DOS at the Fermi energy = 0.9242 states/eV/atom
Calculated volume = 169.01 Å³ per cell

***

(4)
VASP calculation (meta-GGA SCAN) on a PBEsol-optimized structure of SrAsRh.

Cell lengths 6.685, 6.685, 6.685 Å; angles 90.00, 90.00, 90.00 degrees
Space group F-43m (No. 216)
Asymmetric unit:
1 Sr 0.000 0.000 0.000 x4
2 As 0.250 0.250 0.750 x4
3 Rh 0.250 0.250 0.250 x4

Results
Calculated formation energy = 0.455 eV/atom
Calculated total energy = -24.96 eV per atom
DOS at the Fermi energy = 0.7480 states/eV/atom
Calculated volume = 298.74 Å³ per cell

***

(5)
VASP calculation (meta-GGA SCAN) on a PBEsol-optimized structure of KP2Ir2.

Cell lengths 3.918, 3.918, 12.820 Å; angles 90.00, 90.00, 90.00 degrees
Space group I4/mmm (No. 139)
Asymmetric unit:
1 K 0.000 0.000 0.000 x2
2 P 0.000 0.000 0.350 x4
3 Ir 0.000 0.500 0.250 x4

Results
Calculated formation energy = -0.735 eV/atom
Calculated total energy = -35.00 eV per atom
DOS at the Fermi energy = 0.2016 states/eV/atom
Calculated volume = 196.75 Å³ per cell

***

(6)
VASP calculation (meta-GGA SCAN) on a PBEsol-optimized structure of CaNiIr2.

Cell lengths 5.370, 9.285, 2.711 Å; angles 90.00, 117.75, 90.00 degrees
Space group C2/m (No. 12)
Asymmetric unit:
1 Ca 0.000 0.000 0.000 x2
2 Ni 0.000 0.500 0.000 x2
3 Ir 0.250 0.250 0.500 x4

Results
Calculated formation energy = 0.134 eV/atom
E above lowest polymorph = 0.000 eV per atom
Calculated total energy = -41.87 eV per atom
DOS at the Fermi energy = 0.8371 states/eV/atom
Calculated volume = 119.62 Å³ per cell

***

(7)
VASP calculation (meta-GGA SCAN) on a PBEsol-optimized structure of KNi2Sb.

Cell lengths 3.208, 3.265, 7.593 Å; angles 90.00, 90.00, 90.00 degrees
Space group Pmmm (No. 47)
Asymmetric unit:
1 K 0.000 0.000 0.000 x1
2 Ni 0.500 0.500 0.335 x2
3 Sb 0.000 0.000 0.500 x1

Results
Raw formation energy = 366 meV per atom
Calculated total energy = -19.12 eV per atom
DOS at the Fermi energy = 0.5542 states/eV/atom
Calculated volume = 79.55 Å³ per cell

***

(8)
VASP calculation (meta-GGA SCAN) on a PBEsol-optimized structure of LaCo.

Cell lengths 4.6543, 4.6543, 4.5734 Å; angles 90.00, 90.00, 120.00 degrees
Space group P6_3/mmc (No. 194)
Asymmetric unit:
1 La 0.3333 0.6667 0.2500 x2
2 Co 0.0000 0.0000 0.0000 x2

Results
Calculated formation energy = -0.075 eV/atom
Calculated total energy = -30.28 eV per atom
DOS at the Fermi energy = 0.5474 states/eV/atom
Calculated volume = 85.80 Å³ per cell

***

(9)
VASP calculation (meta-GGA SCAN) on a PBEsol-optimized structure of TmO3.

Cell lengths 5.430, 5.430, 5.430 Å; angles 90.00, 90.00, 90.00 degrees
Space group Fm-3m (No. 225)
Asymmetric unit:
1 Tm 0.000 0.000 0.000 x4
2 O 0.000 0.000 0.500 x4
3 O 0.250 0.250 0.250 x8

Results
Raw formation energy = -1742 meV per atom
Calculated total energy = -19.37 eV per atom
DOS at the Fermi energy = 0.2571 states/eV/atom
Calculated volume = 160.09 Å³ per cell

***

(10)
VASP calculation (meta-GGA SCAN) on a PBEsol-optimized structure of KInTe.

Cell lengths 4.4442, 4.4442, 6.4956 Å; angles 90.00, 90.00, 120.00 degrees
Space group P3m1 (No. 156)
Asymmetric unit:
1 K 0.0000 0.0000 0.0000 x1
2 In 0.6667 0.3333 0.4079 x1
3 Te 0.3333 0.6667 0.6486 x1

Results
Raw formation energy = -673 meV per atom
E above lowest polymorph = 0.000 eV per atom
Calculated total energy = -27.00 eV per atom
DOS at the Fermi energy = 0.0000 states/eV/atom
Calculated volume = 111.11 Å³ per cell

***

(11)
VASP calculation (meta-GGA SCAN) on a PBEsol-optimized structure of Li2InRh.

Cell lengths 3.827, 3.827, 8.224 Å; angles 90.00, 90.00, 90.00 degrees
Space group I4/mmm (No. 139)
Asymmetric unit:
1 Li 0.000 0.500 0.250 x4
2 In 0.000 0.000 0.000 x2
3 Rh 0.000 0.000 0.500 x2

Results
Calculated formation energy = -0.363 eV/atom
Calculated total energy = -18.35 eV per atom
DOS at the Fermi energy = 0.3828 states/eV/atom
Calculated volume = 120.46 Å³ per cell

***

(12)
VASP calculation (meta-GGA SCAN) on a PBEsol-optimized structure of Co2Re.

Cell lengths 2.567, 3.552, 7.534 Å; angles 90.00, 90.00, 90.00 degrees
Space group Immm (No. 71)
Asymmetric unit:
1 Co 0.000 0.000 0.168 x4
2 Re 0.000 0.000 0.500 x2

Results
Calculated formation energy = 0.163 eV/atom
E above lowest polymorph = 0.068 eV per atom
Calculated total energy = -35.07 eV per atom
DOS at the Fermi energy = 0.9424 states/eV/atom
Calculated volume = 68.70 Å³ per cell